# HgPtI3

A relaxed HgPtI3 crystal (GGA-PBE, Alexandria via LeMat-Bulk).

The relative energy among the computed polymorphs comes out at 0.000 eV per atom. The mass density comes out at 7.6 g/cm³. For the uncorrected formation energy, the calculation gives 98 meV per atom. As for the crystal system: cubic. As for the magnetization: 0.00 μB/f.u.

It has space group Pm-3m (No. 221), with a = 5.5329 Å, b = 5.5329 Å, c = 5.5329 Å, α = 90.00°, β = 90.00° and γ = 90.00°. Symmetry generates all atoms from Hg at (0.0000, 0.0000, 0.0000), Pt at (0.5000, 0.5000, 0.5000) and I at (0.0000, 0.5000, 0.5000).


# ZrCr2Os

A relaxed ZrCr2Os crystal (GGA-PBE, Alexandria via LeMat-Bulk).

The relative energy among the computed polymorphs comes out at 0.107 eV per atom. The mass density comes out at 10.7 g/cm³. Its formation energy is 0.6 eV per formula unit. As for the crystal system: monoclinic. As for the magnetization: 0.00 μB/f.u.

It has space group P2/m (No. 10), with a = 2.7619 Å, b = 4.2197 Å, c = 5.2513 Å, α = 90.00°, β = 100.98° and γ = 90.00°. Symmetry generates all atoms from Zr at (0.0000, 0.0000, 0.0000), Cr at (0.2139, 0.5000, 0.7074) and Os at (0.5000, 0.0000, 0.5000).


# NiRu2

A relaxed NiRu2 crystal (GGA-PBE, Alexandria via LeMat-Bulk).

The relative energy among the computed polymorphs comes out at 0.000 eV per atom. The mass density comes out at 11.2 g/cm³. Its formation energy is 0.1 eV per formula unit. As for the crystal system: orthorhombic. As for the magnetization: 0.00 μB/f.u.

It has space group Cmcm (No. 63), with a = 7.9871 Å, b = 4.5581 Å, c = 4.2671 Å, α = 90.00°, β = 90.00° and γ = 90.00°. Symmetry generates all atoms from Ni at (0.0000, 0.1656, 0.2500) and Ru at (0.1621, 0.3247, 0.7500).